Computed, not measured: SrLuMgCd after structural relaxation at the PBE level of DFT.

Cell and atoms, written as extended XYZ:
```
16
Lattice="7.7846 0.0000 0.0000 0.0000 7.7846 0.0000 0.0000 0.0000 7.7846" Properties=species:S:1:pos:R:3 pbc="T T T"
Sr 0.0000 0.0000 0.0000
Sr 0.0000 3.8923 3.8923
Sr 3.8923 0.0000 3.8923
Sr 3.8923 3.8923 0.0000
Lu 0.0000 0.0000 3.8923
Lu 0.0000 3.8923 0.0000
Lu 3.8923 0.0000 0.0000
Lu 3.8923 3.8923 3.8923
Mg 1.9461 1.9461 5.8384
Mg 1.9461 5.8384 1.9461
Mg 5.8384 1.9461 1.9461
Mg 5.8384 5.8384 5.8384
Cd 1.9461 1.9461 1.9461
Cd 1.9461 5.8384 5.8384
Cd 5.8384 1.9461 5.8384
Cd 5.8384 5.8384 1.9461
```

Calculated values
Theoretical density   5.6 g cm⁻³
Energy of formation from the pure elements   -0.10 eV per atom
M_tot   0.00 μB per formula unit
Volume   471.7 Å³ per cell
Fermi-level density of states   14.4 states/eV/cell
VASP energy   -36.45 eV/cell